DFT (PBE with a Hubbard U) results for a geometry-optimized Li6MnO3F3 structure.

Results
For the total energy, the calculation gives -137.40 eV per cell. The total magnetization is 7.989 μB/cell. The calculation puts the density of states at the Fermi level at 0.00 states/eV/cell.

Cell lengths 5.1507, 5.1755, 10.4729 Å; angles 97.86, 102.36, 99.88 degrees
Element x y z (fractional)
1 O 0.9318 0.1958 0.1516
2 Li 0.5987 0.2878 0.0418
3 Li 0.5594 0.2335 0.5398
4 Li 0.3857 0.6917 0.9567
5 Li 0.0842 0.6347 0.6611
6 Li 0.2654 0.1017 0.7912
7 O 0.2294 0.3359 0.9729
8 Li 0.1129 0.5420 0.1325
9 Li 0.9248 0.3702 0.3314
10 O 0.2307 0.3202 0.4550
11 Li 0.3074 0.0809 0.2970
12 F 0.0575 0.7372 0.3088
13 F 0.9166 0.2668 0.6826
14 F 0.6433 0.1164 0.8755
15 Li 0.6986 0.9282 0.7118
16 F 0.3608 0.8757 0.1249
17 Li 0.7417 0.9093 0.2192
18 F 0.7732 0.6604 0.0244
19 O 0.3208 0.9381 0.6113
20 O 0.6870 0.0791 0.3885
21 Mn 0.0136 0.0314 0.4994
22 Li 0.9139 0.4412 0.8613
23 Mn 0.0162 0.0181 0.9983
24 F 0.7728 0.7108 0.5526
25 O 0.0600 0.8007 0.8427
26 Li 0.3935 0.6920 0.4679